[1]
DFT (PBE-GGA) results for Zn2BrCl after structural relaxation.

POSCAR file:
```
Zn2BrCl
1.0
3.3117 0.0000 0.0000
0.0000 3.3117 0.0000
0.0000 0.0000 8.4695
Zn Br Cl
2 1 1
Direct
0.0000 0.0000 0.0000
0.5000 0.5000 0.2477
0.0000 0.0000 0.4236
0.5000 0.5000 0.8393
```

Output
Uncorrected formation energy: -179 meV per atom

[2]
DFT (PBE-GGA) results for Nd3Si2Pb2 after structural relaxation.

POSCAR file:
```
Nd3Si2Pb2
1.0
5.8104 -2.1768 0.0000
5.8104 2.1768 0.0000
-3.7081 0.0000 7.4603
Nd Si Pb
3 2 2
Direct
0.0000 0.0000 0.0000
0.1811 0.1811 0.6616
0.8189 0.8189 0.3384
0.2928 0.2928 0.0667
0.7072 0.7072 0.9333
0.4545 0.4545 0.6691
0.5455 0.5455 0.3309
```

Output
Uncorrected formation energy: -552 meV per atom